VASP calculation (PBE with a Hubbard U) on a relaxed structure of CuWNF2.

Results
DFT total energy: -4.7288 eV/atom
Magnetic moment: 2.9 μB per cell

Cell lengths 3.563, 3.563, 5.159 Å; angles 90.00, 90.00, 90.00 degrees
Site moments in Bohr magnetons follow the coordinates.
Sites, in units of the cell vectors:
N 0.000 0.000 0.500  -0.24
Cu 0.000 0.000 0.000  -0.02
W 0.500 0.500 0.500  2.90
F 0.000 0.500 0.000  0.03
F 0.500 0.000 0.000  0.03